1.
Material: NaTc3Pt
Method: DFT, PBE
State: optimized geometry

Offset from the most stable computed form (eV/atom): 0.622
Calculated volume (Å³/cell): 84.4
ΔE_f (eV per atom): 2.43

The structure in CIF format:
```
data_NaTc3Pt
_cell_length_a 4.387
_cell_length_b 4.387
_cell_length_c 4.387
_cell_angle_alpha 90.00
_cell_angle_beta 90.00
_cell_angle_gamma 90.00
_symmetry_space_group_name_H-M 'P 1'
_symmetry_Int_Tables_number 1
_symmetry_space_group_name_Hall 'P 1'
loop_
_atom_site_label
_atom_site_type_symbol
_atom_site_fract_x
_atom_site_fract_y
_atom_site_fract_z
Na1 Na 0.000 0.000 0.000
Tc1 Tc 0.000 0.000 0.500
Tc2 Tc 0.000 0.500 0.000
Tc3 Tc 0.500 0.000 0.000
Pt1 Pt 0.500 0.500 0.500
```

=====

2.
Material: Na2TcPt
Method: DFT, PBE
State: optimized geometry

Offset from the most stable computed form (eV/atom): 0.003
Calculated volume (Å³/cell): 176.8
ΔE_f (eV per atom): 0.90

The structure in CIF format:
```
data_Na2TcPt
_cell_length_a 6.442
_cell_length_b 6.442
_cell_length_c 6.442
_cell_angle_alpha 98.76
_cell_angle_beta 98.76
_cell_angle_gamma 134.07
_symmetry_space_group_name_H-M 'P 1'
_symmetry_Int_Tables_number 1
_symmetry_space_group_name_Hall 'P 1'
loop_
_atom_site_label
_atom_site_type_symbol
_atom_site_fract_x
_atom_site_fract_y
_atom_site_fract_z
Na1 Na 0.087 0.625 0.962
Na2 Na 0.375 0.337 0.462
Na3 Na 0.663 0.125 0.038
Na4 Na 0.875 0.913 0.538
Tc1 Tc 0.250 0.750 0.500
Tc2 Tc 0.500 0.500 0.000
Pt1 Pt 0.000 0.000 0.000
Pt2 Pt 0.750 0.250 0.500
```

=====

3.
Material: NaTePt
Method: DFT, PBE
State: optimized geometry

Calculated volume (Å³/cell): 68.5
Uncorrected energy (eV/atom): -3.8946

The structure in CIF format:
```
data_NaTePt
_cell_length_a 4.593
_cell_length_b 4.593
_cell_length_c 4.593
_cell_angle_alpha 60.00
_cell_angle_beta 60.00
_cell_angle_gamma 60.00
_symmetry_space_group_name_H-M 'P 1'
_symmetry_Int_Tables_number 1
_symmetry_space_group_name_Hall 'P 1'
loop_
_atom_site_label
_atom_site_type_symbol
_atom_site_fract_x
_atom_site_fract_y
_atom_site_fract_z
Na1 Na 0.000 0.000 0.000
Te1 Te 0.500 0.500 0.500
Pt1 Pt 0.250 0.250 0.250
```

=====

4.
Material: NaTe3Pt2
Method: DFT, PBE
State: optimized geometry

Calculated volume (Å³/cell): 334.9
Uncorrected energy (eV/atom): -4.3436

The structure in CIF format:
```
data_NaTe3Pt2
_cell_length_a 8.075
_cell_length_b 8.075
_cell_length_c 5.930
_cell_angle_alpha 90.00
_cell_angle_beta 90.00
_cell_angle_gamma 120.00
_symmetry_space_group_name_H-M 'P 1'
_symmetry_Int_Tables_number 1
_symmetry_space_group_name_Hall 'P 1'
loop_
_atom_site_label
_atom_site_type_symbol
_atom_site_fract_x
_atom_site_fract_y
_atom_site_fract_z
Na1 Na 0.333 0.667 0.323
Na2 Na 0.667 0.333 0.677
Te1 Te 0.172 0.343 0.780
Te2 Te 0.172 0.828 0.780
Te3 Te 0.343 0.172 0.220
Te4 Te 0.657 0.828 0.780
Te5 Te 0.828 0.172 0.220
Te6 Te 0.828 0.657 0.220
Pt1 Pt 0.000 0.000 0.000
Pt2 Pt 0.000 0.500 0.000
Pt3 Pt 0.500 0.000 0.000
Pt4 Pt 0.500 0.500 0.000
```

=====

5.
Material: NaTePt
Method: DFT, PBE
State: optimized geometry

Calculated volume (Å³/cell): 153.9
Uncorrected energy (eV/atom): -3.9077

The structure in CIF format:
```
data_NaTePt
_cell_length_a 6.517
_cell_length_b 6.517
_cell_length_c 3.731
_cell_angle_alpha 90.00
_cell_angle_beta 90.00
_cell_angle_gamma 103.77
_symmetry_space_group_name_H-M 'P 1'
_symmetry_Int_Tables_number 1
_symmetry_space_group_name_Hall 'P 1'
loop_
_atom_site_label
_atom_site_type_symbol
_atom_site_fract_x
_atom_site_fract_y
_atom_site_fract_z
Na1 Na 0.250 0.750 0.998
Na2 Na 0.750 0.250 0.002
Te1 Te 0.250 0.250 0.000
Te2 Te 0.750 0.750 0.000
Pt1 Pt 0.000 0.000 0.500
Pt2 Pt 0.500 0.500 0.500
```

=====

6.
Material: NaTePt
Method: DFT, PBE
State: optimized geometry

Calculated volume (Å³/cell): 345.9
Uncorrected energy (eV/atom): -4.0178

The structure in CIF format:
```
data_NaTePt
_cell_length_a 6.420
_cell_length_b 7.945
_cell_length_c 7.383
_cell_angle_alpha 90.00
_cell_angle_beta 113.29
_cell_angle_gamma 90.00
_symmetry_space_group_name_H-M 'P 1'
_symmetry_Int_Tables_number 1
_symmetry_space_group_name_Hall 'P 1'
loop_
_atom_site_label
_atom_site_type_symbol
_atom_site_fract_x
_atom_site_fract_y
_atom_site_fract_z
Na1 Na 0.232 0.127 0.102
Na2 Na 0.232 0.373 0.602
Na3 Na 0.768 0.627 0.398
Na4 Na 0.768 0.873 0.898
Te1 Te 0.229 0.664 0.246
Te2 Te 0.229 0.836 0.746
Te3 Te 0.771 0.164 0.254
Te4 Te 0.771 0.336 0.754
Pt1 Pt 0.052 0.590 0.863
Pt2 Pt 0.052 0.910 0.363
Pt3 Pt 0.948 0.090 0.637
Pt4 Pt 0.948 0.410 0.137
```

=====

7.
Material: NaTePt
Method: DFT, PBE
State: optimized geometry

Calculated volume (Å³/cell): 76.0
Uncorrected energy (eV/atom): -3.9666

The structure in CIF format:
```
data_NaTePt
_cell_length_a 4.484
_cell_length_b 4.484
_cell_length_c 4.363
_cell_angle_alpha 90.00
_cell_angle_beta 90.00
_cell_angle_gamma 120.00
_symmetry_space_group_name_H-M 'P 1'
_symmetry_Int_Tables_number 1
_symmetry_space_group_name_Hall 'P 1'
loop_
_atom_site_label
_atom_site_type_symbol
_atom_site_fract_x
_atom_site_fract_y
_atom_site_fract_z
Na1 Na 0.000 0.000 0.000
Te1 Te 0.333 0.667 0.500
Pt1 Pt 0.667 0.333 0.500
```

=====

8.
Material: NaTePt3
Method: DFT, PBE
State: optimized geometry

Offset from the most stable computed form (eV/atom): 0.000
Calculated volume (Å³/cell): 126.1

The structure in CIF format:
```
data_NaTePt3
_cell_length_a 5.015
_cell_length_b 5.015
_cell_length_c 5.015
_cell_angle_alpha 90.00
_cell_angle_beta 90.00
_cell_angle_gamma 90.00
_symmetry_space_group_name_H-M 'P 1'
_symmetry_Int_Tables_number 1
_symmetry_space_group_name_Hall 'P 1'
loop_
_atom_site_label
_atom_site_type_symbol
_atom_site_fract_x
_atom_site_fract_y
_atom_site_fract_z
Na1 Na 0.000 0.000 0.000
Te1 Te 0.500 0.500 0.500
Pt1 Pt 0.000 0.500 0.500
Pt2 Pt 0.500 0.000 0.500
Pt3 Pt 0.500 0.500 0.000
```

=====

9.
Material: NaTe8Pt4
Method: DFT, PBE
State: optimized geometry

Calculated volume (Å³/cell): 424.7
Uncorrected energy (eV/atom): -4.3058

The structure in CIF format:
```
data_NaTe8Pt4
_cell_length_a 8.873
_cell_length_b 8.873
_cell_length_c 8.873
_cell_angle_alpha 54.00
_cell_angle_beta 54.00
_cell_angle_gamma 54.00
_symmetry_space_group_name_H-M 'P 1'
_symmetry_Int_Tables_number 1
_symmetry_space_group_name_Hall 'P 1'
loop_
_atom_site_label
_atom_site_type_symbol
_atom_site_fract_x
_atom_site_fract_y
_atom_site_fract_z
Na1 Na 0.000 0.000 0.000
Te1 Te 0.224 0.731 0.731
Te2 Te 0.229 0.229 0.229
Te3 Te 0.269 0.269 0.776
Te4 Te 0.269 0.776 0.269
Te5 Te 0.731 0.224 0.731
Te6 Te 0.731 0.731 0.224
Te7 Te 0.771 0.771 0.771
Te8 Te 0.776 0.269 0.269
Pt1 Pt 0.000 0.000 0.500
Pt2 Pt 0.000 0.500 0.000
Pt3 Pt 0.500 0.000 0.000
Pt4 Pt 0.500 0.500 0.500
```

=====

10.
Material: Na2TePt2
Method: DFT, PBE
State: optimized geometry

Calculated volume (Å³/cell): 223.8
Uncorrected energy (eV/atom): -3.8568

The structure in CIF format:
```
data_Na2TePt2
_cell_length_a 6.893
_cell_length_b 6.893
_cell_length_c 4.711
_cell_angle_alpha 90.00
_cell_angle_beta 90.00
_cell_angle_gamma 90.00
_symmetry_space_group_name_H-M 'P 1'
_symmetry_Int_Tables_number 1
_symmetry_space_group_name_Hall 'P 1'
loop_
_atom_site_label
_atom_site_type_symbol
_atom_site_fract_x
_atom_site_fract_y
_atom_site_fract_z
Na1 Na 0.166 0.334 0.000
Na2 Na 0.334 0.834 0.000
Na3 Na 0.666 0.166 0.000
Na4 Na 0.834 0.666 0.000
Te1 Te 0.000 0.000 0.500
Te2 Te 0.500 0.500 0.500
Pt1 Pt 0.137 0.637 0.500
Pt2 Pt 0.363 0.137 0.500
Pt3 Pt 0.637 0.863 0.500
Pt4 Pt 0.863 0.363 0.500
```

=====

11.
Material: NaTePt3
Method: DFT, PBE
State: optimized geometry

Offset from the most stable computed form (eV/atom): 0.879
Calculated volume (Å³/cell): 103.1

The structure in CIF format:
```
data_NaTePt3
_cell_length_a 4.689
_cell_length_b 4.689
_cell_length_c 4.689
_cell_angle_alpha 90.00
_cell_angle_beta 90.00
_cell_angle_gamma 90.00
_symmetry_space_group_name_H-M 'P 1'
_symmetry_Int_Tables_number 1
_symmetry_space_group_name_Hall 'P 1'
loop_
_atom_site_label
_atom_site_type_symbol
_atom_site_fract_x
_atom_site_fract_y
_atom_site_fract_z
Na1 Na 0.000 0.000 0.000
Te1 Te 0.500 0.500 0.500
Pt1 Pt 0.000 0.000 0.500
Pt2 Pt 0.000 0.500 0.000
Pt3 Pt 0.500 0.000 0.000
```

=====

12.
Material: NaTiTePt2
Method: DFT, PBE
State: optimized geometry

Calculated volume (Å³/cell): 128.6
Uncorrected energy (eV/atom): -4.1040

The structure in CIF format:
```
data_NaTiTePt2
_cell_length_a 5.010
_cell_length_b 5.010
_cell_length_c 5.121
_cell_angle_alpha 90.00
_cell_angle_beta 90.00
_cell_angle_gamma 90.00
_symmetry_space_group_name_H-M 'P 1'
_symmetry_Int_Tables_number 1
_symmetry_space_group_name_Hall 'P 1'
loop_
_atom_site_label
_atom_site_type_symbol
_atom_site_fract_x
_atom_site_fract_y
_atom_site_fract_z
Na1 Na 0.000 0.000 0.000
Ti1 Ti 0.500 0.500 0.000
Te1 Te 0.000 0.000 0.500
Pt1 Pt 0.000 0.500 0.500
Pt2 Pt 0.500 0.000 0.500
```

=====

Repeat the first record exactly.
Material: NaTc3Pt
Method: DFT, PBE
State: optimized geometry

Offset from the most stable computed form (eV/atom): 0.622
Calculated volume (Å³/cell): 84.4
ΔE_f (eV per atom): 2.43

The structure in CIF format:
```
data_NaTc3Pt
_cell_length_a 4.387
_cell_length_b 4.387
_cell_length_c 4.387
_cell_angle_alpha 90.00
_cell_angle_beta 90.00
_cell_angle_gamma 90.00
_symmetry_space_group_name_H-M 'P 1'
_symmetry_Int_Tables_number 1
_symmetry_space_group_name_Hall 'P 1'
loop_
_atom_site_label
_atom_site_type_symbol
_atom_site_fract_x
_atom_site_fract_y
_atom_site_fract_z
Na1 Na 0.000 0.000 0.000
Tc1 Tc 0.000 0.000 0.500
Tc2 Tc 0.000 0.500 0.000
Tc3 Tc 0.500 0.000 0.000
Pt1 Pt 0.500 0.500 0.500
```

=====

Q: Look up the calculated volume of the fifth one.
A: 153.9 Å³/cell

=====

Q: Among the records above, which one has the highest calculated volume?
A: NaTe8Pt4